PrNd2Zn | GGA-PBE | optimized geometry

```
data_PrNd2Zn
_space_group_name_H-M_alt 'F m -3 m'
_space_group_IT_number 225
_space_group_name_Hall '-F 4 2 3'
_cell_length_a 7.7977
_cell_length_b 7.7977
_cell_length_c 7.7977
_cell_angle_alpha 90.00
_cell_angle_beta 90.00
_cell_angle_gamma 90.00
loop_
_atom_site_label
_atom_site_type_symbol
_atom_site_fract_x
_atom_site_fract_y
_atom_site_fract_z
Pr1 Pr 0.0000 0.0000 0.0000
Nd1 Nd 0.2500 0.2500 0.2500
Zn1 Zn 0.0000 0.0000 0.5000
```

Summary:
- Polymorph energy (0 for the lowest one): 21.4 kJ per mole of atoms
- ΔH_f (0 K): 0.07 eV per atom
- Density of states at the Fermi level: 21.661 states/eV per cell